Below is a relaxed structure of NdNiB5O10, with properties calculated at the PBE with a Hubbard U level.

Lattice parameters (Å, degrees): 8.7209 7.6495 12.5710 90.00 130.62 90.00
Space group P2_1/c (No. 14)
Asymmetric unit:
Nd 0.0546 0.1815 0.2361
Ni 0.4765 0.5887 0.8730
B 0.0910 0.6749 0.6070
B 0.1565 0.5993 0.9992
B 0.2758 0.0339 0.0554
B 0.3470 0.5780 0.2594
B 0.4819 0.1865 0.9128
O 0.0294 0.7258 0.9857
O 0.0906 0.1068 0.9190
O 0.1185 0.5500 0.8811
O 0.2005 0.7101 0.2323
O 0.2350 0.5272 0.6488
O 0.3165 0.5355 0.1296
O 0.3198 0.0881 0.8049
O 0.3253 0.6236 0.5099
O 0.4285 0.1523 0.4307
O 0.4500 0.1529 0.1347

V ... 159.1 Å³/f.u.
E ... -7.782 eV/atom
Crystal system ... monoclinic